A relaxed MnCl3F4 crystal. Source: the Alexandria database, functional PBE+U.

Output
The value obtained for the magnetic moment is 3.79 μB per formula unit. For the total energy, the calculation gives -30.96 eV/f.u. Its crystal system is triclinic.

abc: 3.915 10.442 14.150
angles: 136.76 91.27 108.12
Each line ends with the local moment (μB).
Sites, in units of the cell vectors:
F: 0.802 0.804 0.845  -0.01
F: 0.275 0.368 0.856  -0.01
F: 0.569 0.696 0.155  -0.01
F: 0.096 0.132 0.144  -0.01
F: 0.814 0.402 0.004  -0.03
F: 0.325 0.399 0.137  -0.03
F: 0.046 0.101 0.863  -0.03
F: 0.557 0.098 0.996  -0.03
Mn: 0.319 0.409 0.003  3.45
Mn: 0.052 0.091 0.997  3.45
Cl: 0.992 0.644 0.399  0.06
Cl: 0.524 0.981 0.406  0.11
Cl: 0.557 0.212 0.613  0.12
Cl: 0.847 0.519 0.594  0.11
Cl: 0.814 0.288 0.387  0.12
Cl: 0.380 0.856 0.601  0.06